## KGeCl3 (PBE)

Data for an optimized crystal structure of KGeCl3.

a b c (Å): 9.4106 7.8417 9.9120
angles (deg): 90.00 90.00 90.00
With the nearest neighbours (Å) after each atom.
Space group Cmcm (No. 63)
Asymmetric unit:
K 0.0000 0.1913 0.2500 [4 per cell]  6 Cl 3.19-3.46, 1 Ge 3.53
Ge 0.0000 0.3584 0.7500 [4 per cell]  2 Cl 2.37
Cl 0.0000 0.5000 0.0000 [4 per cell]  2 Ge 2.72
Cl 0.1835 0.1509 0.7500 [8 per cell]  1 Ge 2.37

E_tot: -17.257 eV per formula unit
Size of the total moment: 0.000 μB per atom
ΔE_f (raw): -1.200 eV/atom